1.
# ZrCrSe2, optimized geometry, DFT PBE
# * DOS(E_F): 2.20 states/eV/f.u.
# * total magnetic moment: 6.8 μB per cell
# * uncorrected formation energy: -0.789 eV per atom
# * crystal system: orthorhombic
data_ZrCrSe2
_chemical_formula_sum 'Zr2 Cr2 Se4'
_space_group_name_H-M_alt 'A m m 2'
_space_group_IT_number 38
_cell_length_a 3.592
_cell_length_b 3.632
_cell_length_c 12.565
_cell_angle_alpha 90.00
_cell_angle_beta 90.00
_cell_angle_gamma 90.00
loop_
_space_group_symop_operation_xyz
'x,y,z'
'-x,-y,z'
'-x,y,z'
'x,-y,z'
'x,y+1/2,z+1/2'
'-x,-y+1/2,z+1/2'
'-x,y+1/2,z+1/2'
'x,-y+1/2,z+1/2'
loop_
_atom_site_label
_atom_site_type_symbol
_atom_site_fract_x
_atom_site_fract_y
_atom_site_fract_z
Zr1 Zr 0.000 0.000 0.000
Cr1 Cr 0.500 0.000 0.199
Se1 Se 0.000 0.000 0.665
Se2 Se 0.500 0.000 0.407

---

2.
# Si2AsIr2, optimized geometry, DFT PBE
# * DOS(E_F): 1.45 states/eV/f.u.
# * total magnetic moment: 0.0 μB per cell
# * uncorrected formation energy: -0.309 eV per atom
# * crystal system: tetragonal
data_Si2AsIr2
_chemical_formula_sum 'Si4 As2 Ir4'
_space_group_name_H-M_alt 'P 4/m b m'
_space_group_IT_number 127
_space_group_name_Hall '-P 4 2ab'
_cell_length_a 7.304
_cell_length_b 7.304
_cell_length_c 2.767
_cell_angle_alpha 90.00
_cell_angle_beta 90.00
_cell_angle_gamma 90.00
loop_
_atom_site_label
_atom_site_type_symbol
_atom_site_fract_x
_atom_site_fract_y
_atom_site_fract_z
Si1 Si 0.148 0.352 0.000
As1 As 0.000 0.000 0.500
Ir1 Ir 0.144 0.644 0.500

---

> total magnetic moment of number 2 (Si2AsIr2)?

0.0 μB per cell

---

> What is the DOS(E_F) in the second record?

1.45 states/eV/f.u.

---

> Among the records above, which one has the lowest DOS(E_F)?

Si2AsIr2

---

> Number 1 is which compound?

ZrCrSe2